[1]
First-principles (PBE) data for a relaxed Ba2HfHg crystal, as listed in OQMD via LeMat-Bulk.

* total energy: -48.3 eV for the cell shown
* V: 31.83 Å³/atom

abc: 7.9861 7.9861 7.9861
angles: 90.00 90.00 90.00
Space group F-43m (No. 216)
One atom of each set of equivalent atoms:
Ba (0.0000, 0.0000, 0.0000) (multiplicity 4)
Ba (0.2500, 0.2500, 0.2500) (multiplicity 4)
Hf (0.2500, 0.2500, 0.7500) (multiplicity 4)
Hg (0.0000, 0.0000, 0.5000) (multiplicity 4)



[2]
First-principles (PBE) data for a relaxed NdYB4 crystal, as listed in OQMD via LeMat-Bulk.

* V: 12.72 Å³/atom
* energy relative to the lowest polymorph listed for this composition: 0.0 kJ per mole of atoms

abc: 3.3171 3.3171 8.0088
angles: 90.00 90.00 120.00
Space group P6/mmm (No. 191)
One atom of each set of equivalent atoms:
Nd (0.0000, 0.0000, 0.0000) (multiplicity 1)
Y (0.0000, 0.0000, 0.5000) (multiplicity 1)
B (0.3333, 0.6667, 0.2609) (multiplicity 4)



[3]
First-principles (PBE) data for a relaxed DyTlNiTe3 crystal, as listed in OQMD via LeMat-Bulk.

* V: 30.39 Å³/atom
* energy relative to the lowest polymorph listed for this composition: 0.0 kJ per mole of atoms

abc: 4.1375 16.1266 10.9304
angles: 90.00 90.00 90.00
Space group Cmcm (No. 63)
One atom of each set of equivalent atoms:
Dy (0.0000, 0.0000, 0.0000) (multiplicity 4)
Tl (0.0000, 0.2512, 0.2500) (multiplicity 4)
Ni (0.0000, 0.4808, 0.7500) (multiplicity 4)
Te (0.0000, 0.0780, 0.7500) (multiplicity 4)
Te (0.0000, 0.3716, 0.5808) (multiplicity 8)



[4]
First-principles (PBE) data for a relaxed YAlCuW crystal, as listed in OQMD via LeMat-Bulk.

* V: 17.77 Å³/atom
* energy relative to the lowest polymorph listed for this composition: 0.0 kJ per mole of atoms

abc: 6.5760 6.5760 6.5760
angles: 90.00 90.00 90.00
Space group F-43m (No. 216)
One atom of each set of equivalent atoms:
Y (0.0000, 0.0000, 0.0000) (multiplicity 4)
Al (0.0000, 0.0000, 0.5000) (multiplicity 4)
Cu (0.2500, 0.2500, 0.7500) (multiplicity 4)
W (0.2500, 0.2500, 0.2500) (multiplicity 4)



[5]
First-principles (PBE) data for a relaxed Zr3CuS5 crystal, as listed in OQMD via LeMat-Bulk.

* total energy: -56.3 eV for the cell shown
* V: 24.59 Å³/atom

abc: 6.1764 6.1764 6.6989
angles: 90.00 90.00 120.00
Space group P6/mmm (No. 191)
One atom of each set of equivalent atoms:
Zr (0.0000, 0.5000, 0.0000) (multiplicity 3)
Cu (0.0000, 0.0000, 0.5000) (multiplicity 1)
S (0.0000, 0.0000, 0.0000) (multiplicity 1)
S (0.3333, 0.6667, 0.2703) (multiplicity 4)



[6]
First-principles (PBE) data for a relaxed LiLuZnTe3 crystal, as listed in OQMD via LeMat-Bulk.

* total energy: -90.4 eV for the cell shown
* V: 28.13 Å³/atom

abc: 4.1832 14.2941 11.2917
angles: 90.00 90.00 90.00
Space group Cmcm (No. 63)
One atom of each set of equivalent atoms:
Li (0.0000, 0.2083, 0.2500) (multiplicity 4)
Lu (0.0000, 0.0000, 0.0000) (multiplicity 4)
Zn (0.0000, 0.4768, 0.7500) (multiplicity 4)
Te (0.0000, 0.0946, 0.7500) (multiplicity 4)
Te (0.0000, 0.3575, 0.5691) (multiplicity 8)



[7]
First-principles (PBE) data for a relaxed TbHoIn crystal, as listed in OQMD via LeMat-Bulk.

* V: 32.67 Å³/atom
* energy relative to the lowest polymorph listed for this composition: 0.0 kJ per mole of atoms

abc: 7.3187 7.3187 7.3187
angles: 90.00 90.00 90.00
Space group F-43m (No. 216)
One atom of each set of equivalent atoms:
Tb (0.0000, 0.0000, 0.0000) (multiplicity 4)
Ho (0.0000, 0.0000, 0.5000) (multiplicity 4)
In (0.2500, 0.2500, 0.7500) (multiplicity 4)



[8]
First-principles (PBE) data for a relaxed PrErPa crystal, as listed in OQMD via LeMat-Bulk.

* V: 32.70 Å³/atom
* energy relative to the lowest polymorph listed for this composition: 0.0 kJ per mole of atoms

abc: 7.3212 7.3212 7.3212
angles: 90.00 90.00 90.00
Space group F-43m (No. 216)
One atom of each set of equivalent atoms:
Pr (0.0000, 0.0000, 0.0000) (multiplicity 4)
Er (0.2500, 0.2500, 0.7500) (multiplicity 4)
Pa (0.2500, 0.2500, 0.2500) (multiplicity 4)



[9]
First-principles (PBE) data for a relaxed Tb2DyTl3AgPt2 crystal, as listed in OQMD via LeMat-Bulk.

* total energy: -83.7 eV for the cell shown
* V: 22.94 Å³/atom

abc: 3.7809 13.7459 7.9444
angles: 90.00 90.00 90.00
Space group Amm2 (No. 38)
One atom of each set of equivalent atoms:
Tb (0.0000, 0.2051, 0.0000) (multiplicity 4)
Dy (0.0000, 0.0000, 0.6155) (multiplicity 2)
Tl (0.5000, 0.0000, 0.9349) (multiplicity 2)
Tl (0.5000, 0.1350, 0.3403) (multiplicity 4)
Ag (0.0000, 0.0000, 0.2053) (multiplicity 2)
Pt (0.5000, 0.1662, 0.7049) (multiplicity 4)



[10]
First-principles (PBE) data for a relaxed LiZn2Ga2 crystal, as listed in OQMD via LeMat-Bulk.

* total energy: -21.7 eV for the cell shown
* V: 17.67 Å³/atom

abc: 3.9622 3.9622 11.2548
angles: 90.00 90.00 90.00
Space group I4/mmm (No. 139)
One atom of each set of equivalent atoms:
Li (0.0000, 0.0000, 0.0000) (multiplicity 2)
Zn (0.0000, 0.5000, 0.2500) (multiplicity 4)
Ga (0.0000, 0.0000, 0.3934) (multiplicity 4)



[11]
First-principles (PBE) data for a relaxed GdNpMo crystal, as listed in OQMD via LeMat-Bulk.

* V: 24.68 Å³/atom
* energy relative to the lowest polymorph listed for this composition: 0.0 kJ per mole of atoms

abc: 6.6652 6.6652 6.6652
angles: 90.00 90.00 90.00
Space group F-43m (No. 216)
One atom of each set of equivalent atoms:
Gd (0.0000, 0.0000, 0.0000) (multiplicity 4)
Np (0.0000, 0.0000, 0.5000) (multiplicity 4)
Mo (0.2500, 0.2500, 0.2500) (multiplicity 4)



[12]
First-principles (PBE) data for a relaxed PaNi4Ag crystal, as listed in OQMD via LeMat-Bulk.

* total energy: -147.2 eV for the cell shown
* V: 14.16 Å³/atom

abc: 6.9783 6.9783 6.9783
angles: 90.00 90.00 90.00
Space group F-43m (No. 216)
One atom of each set of equivalent atoms:
Pa (0.0000, 0.0000, 0.0000) (multiplicity 4)
Ni (0.1243, 0.1243, 0.3757) (multiplicity 16)
Ag (0.2500, 0.2500, 0.7500) (multiplicity 4)



[13]
First-principles (PBE) data for a relaxed Nd2SeSF2 crystal, as listed in OQMD via LeMat-Bulk.

* total energy: -38.5 eV for the cell shown
* V: 18.52 Å³/atom

abc: 3.9666 3.9666 7.0630
angles: 90.00 90.00 90.00
Space group P4mm (No. 99)
One atom of each set of equivalent atoms:
Nd (0.0000, 0.0000, 0.0000) (multiplicity 1)
Nd (0.5000, 0.5000, 0.4465) (multiplicity 1)
Se (0.0000, 0.0000, 0.5816) (multiplicity 1)
S (0.5000, 0.5000, 0.8709) (multiplicity 1)
F (0.0000, 0.5000, 0.2226) (multiplicity 2)



[14]
First-principles (PBE) data for a relaxed LaTbH2Cl4 crystal, as listed in OQMD via LeMat-Bulk.

* total energy: -38.0 eV for the cell shown
* V: 21.89 Å³/atom

abc: 3.9012 3.9012 13.2856
angles: 90.00 90.00 120.00
Space group P-6m2 (No. 187)
One atom of each set of equivalent atoms:
La (0.0000, 0.0000, 0.0000) (multiplicity 1)
Tb (0.0000, 0.0000, 0.5000) (multiplicity 1)
H (0.3333, 0.6667, 0.5000) (multiplicity 1)
H (0.6667, 0.3333, 0.0000) (multiplicity 1)
Cl (0.3333, 0.6667, 0.1374) (multiplicity 2)
Cl (0.6667, 0.3333, 0.3715) (multiplicity 2)



[15]
First-principles (PBE) data for a relaxed SrTmCuTe3 crystal, as listed in OQMD via LeMat-Bulk.

* total energy: -103.6 eV for the cell shown
* V: 30.36 Å³/atom

abc: 19.6134 4.3583 8.7235
angles: 90.00 102.29 90.00
Space group C2/m (No. 12)
One atom of each set of equivalent atoms:
Sr (0.1253, 0.0000, 0.0686) (multiplicity 4)
Tm (0.1613, 0.0000, 0.5832) (multiplicity 4)
Cu (0.0432, 0.5000, 0.7075) (multiplicity 4)
Te (0.0000, 0.0000, 0.5000) (multiplicity 2)
Te (0.0000, 0.5000, 0.0000) (multiplicity 2)
Te (0.1768, 0.5000, 0.3537) (multiplicity 4)
Te (0.1783, 0.5000, 0.8284) (multiplicity 4)



[16]
First-principles (PBE) data for a relaxed La2TbCo2B2N3 crystal, as listed in OQMD via LeMat-Bulk.

* total energy: -155.4 eV for the cell shown
* V: 13.25 Å³/atom

abc: 3.6647 3.6647 19.7258
angles: 90.00 90.00 90.00
Space group I4/mmm (No. 139)
One atom of each set of equivalent atoms:
La (0.0000, 0.0000, 0.1286) (multiplicity 4)
Tb (0.0000, 0.0000, 0.5000) (multiplicity 2)
Co (0.0000, 0.5000, 0.2500) (multiplicity 4)
B (0.0000, 0.0000, 0.3027) (multiplicity 4)
N (0.0000, 0.0000, 0.0000) (multiplicity 2)
N (0.0000, 0.0000, 0.3784) (multiplicity 4)



[17]
First-principles (PBE) data for a relaxed ThBOs crystal, as listed in OQMD via LeMat-Bulk.

* V: 18.37 Å³/atom
* energy relative to the lowest polymorph listed for this composition: 0.0 kJ per mole of atoms

abc: 6.0408 6.0408 6.0408
angles: 90.00 90.00 90.00
Space group F-43m (No. 216)
One atom of each set of equivalent atoms:
Th (0.0000, 0.0000, 0.0000) (multiplicity 4)
B (0.2500, 0.2500, 0.7500) (multiplicity 4)
Os (0.0000, 0.0000, 0.5000) (multiplicity 4)



[18]
First-principles (PBE) data for a relaxed ScInFeNi crystal, as listed in OQMD via LeMat-Bulk.

* V: 15.15 Å³/atom
* energy relative to the lowest polymorph listed for this composition: 0.0 kJ per mole of atoms

abc: 6.2352 6.2352 6.2352
angles: 90.00 90.00 90.00
Space group F-43m (No. 216)
One atom of each set of equivalent atoms:
Sc (0.0000, 0.0000, 0.0000) (multiplicity 4)
In (0.0000, 0.0000, 0.5000) (multiplicity 4)
Fe (0.2500, 0.2500, 0.2500) (multiplicity 4)
Ni (0.2500, 0.2500, 0.7500) (multiplicity 4)



[19]
First-principles (PBE) data for a relaxed NbTc2B2 crystal, as listed in OQMD via LeMat-Bulk.

* V: 12.06 Å³/atom
* energy relative to the lowest polymorph listed for this composition: 16.8 kJ per mole of atoms

abc: 3.6039 3.6039 9.2887
angles: 90.00 90.00 90.00
Space group I4/mmm (No. 139)
One atom of each set of equivalent atoms:
Nb (0.0000, 0.0000, 0.0000) (multiplicity 2)
Tc (0.0000, 0.5000, 0.2500) (multiplicity 4)
B (0.0000, 0.0000, 0.4068) (multiplicity 4)



[20]
First-principles (PBE) data for a relaxed SrGa2PdPt crystal, as listed in OQMD via LeMat-Bulk.

* V: 20.42 Å³/atom
* energy relative to the lowest polymorph listed for this composition: 0.0 kJ per mole of atoms

abc: 4.4696 4.4696 10.2229
angles: 90.00 90.00 90.00
Space group P4/nmm (No. 129, origin choice 2)
One atom of each set of equivalent atoms:
Sr (0.2500, 0.2500, 0.2463) (multiplicity 2)
Ga (0.2500, 0.2500, 0.8781) (multiplicity 2)
Ga (0.2500, 0.7500, 0.5000) (multiplicity 2)
Pd (0.2500, 0.7500, 0.0000) (multiplicity 2)
Pt (0.2500, 0.2500, 0.6292) (multiplicity 2)



[21]
First-principles (PBE) data for a relaxed Au crystal, as listed in OQMD via LeMat-Bulk.

* V: 17.73 Å³/atom
* energy relative to the lowest polymorph listed for this composition: 0.4 kJ per mole of atoms

abc: 2.9191 2.9191 21.6246
angles: 90.00 90.00 120.00
Space group R-3m (No. 166, hexagonal axes)
One atom of each set of equivalent atoms:
Au (0.0000, 0.0000, 0.0000) (multiplicity 3)
Au (0.0000, 0.0000, 0.2224) (multiplicity 6)



[22]
First-principles (PBE) data for a relaxed SrPrPd crystal, as listed in OQMD via LeMat-Bulk.

* V: 32.17 Å³/atom
* energy relative to the lowest polymorph listed for this composition: 0.0 kJ per mole of atoms

abc: 7.2813 7.2813 7.2813
angles: 90.00 90.00 90.00
Space group F-43m (No. 216)
One atom of each set of equivalent atoms:
Sr (0.0000, 0.0000, 0.0000) (multiplicity 4)
Pr (0.0000, 0.0000, 0.5000) (multiplicity 4)
Pd (0.2500, 0.2500, 0.2500) (multiplicity 4)



[23]
First-principles (PBE) data for a relaxed GdTm2Cd4In2 crystal, as listed in OQMD via LeMat-Bulk.

* total energy: -52.1 eV for the cell shown
* V: 24.59 Å³/atom

abc: 4.6024 12.9684 7.4154
angles: 90.00 90.00 90.00
Space group Amm2 (No. 38)
One atom of each set of equivalent atoms:
Gd (0.0000, 0.0000, 0.0000) (multiplicity 2)
Tm (0.0000, 0.2144, 0.6418) (multiplicity 4)
Cd (0.0000, 0.0000, 0.4333) (multiplicity 2)
Cd (0.5000, 0.0000, 0.6723) (multiplicity 2)
Cd (0.5000, 0.1208, 0.3075) (multiplicity 4)
In (0.5000, 0.1684, 0.9279) (multiplicity 4)



[24]
First-principles (PBE) data for a relaxed In2Ni21B6 crystal, as listed in OQMD via LeMat-Bulk.

* total energy: -681.3 eV for the cell shown
* V: 10.30 Å³/atom

abc: 10.6121 10.6121 10.6121
angles: 90.00 90.00 90.00
Space group Fm-3m (No. 225)
One atom of each set of equivalent atoms:
In (0.2500, 0.2500, 0.2500) (multiplicity 8)
Ni (0.0000, 0.0000, 0.0000) (multiplicity 4)
Ni (0.0000, 0.1680, 0.1680) (multiplicity 48)
Ni (0.1137, 0.1137, 0.3863) (multiplicity 32)
B (0.0000, 0.0000, 0.2728) (multiplicity 24)



[25]
First-principles (PBE) data for a relaxed HoEr3In2 crystal, as listed in OQMD via LeMat-Bulk.

* total energy: -25.8 eV for the cell shown
* V: 27.49 Å³/atom

abc: 5.3435 5.3435 6.6697
angles: 90.00 90.00 120.00
Space group P-6m2 (No. 187)
One atom of each set of equivalent atoms:
Ho (0.0000, 0.0000, 0.0000) (multiplicity 1)
Er (0.3333, 0.6667, 0.5000) (multiplicity 1)
Er (0.6667, 0.3333, 0.2500) (multiplicity 2)
In (0.0000, 0.0000, 0.5000) (multiplicity 1)
In (0.3333, 0.6667, 0.0000) (multiplicity 1)